Computed, not measured: a geometry-optimized Ac2MgIn4Ga3 structure at the PBE level of DFT.

a = 4.660 Å, b = 4.660 Å, c = 12.054 Å
α = 90.00°, β = 90.00°, γ = 90.00°
Space group P-4m2 (No. 115)
Symmetry-distinct sites (fractional):
1 Ac 0.000 0.500 0.246
2 Mg 0.000 0.000 0.500
3 In 0.000 0.000 0.000
4 In 0.000 0.500 0.636
5 In 0.500 0.500 0.000
6 Ga 0.000 0.500 0.861
7 Ga 0.500 0.500 0.500

Values from the calculation:
- DFT formation energy (kJ/mol of atoms) = -33.5